Entry 1:
The following is a PBE calculation of crystalline Ac4TbPr7 at its relaxed geometry, from the Alexandria database.

Cell lengths 7.626, 6.622, 12.154 Å; angles 79.47, 51.30, 89.92 degrees
Fractional positions:
Pr (0.922, 0.728, 0.324)
Pr (0.078, 0.272, 0.676)
Pr (0.759, 0.497, 0.997)
Pr (0.326, 0.781, 0.674)
Pr (0.241, 0.503, 0.003)
Pr (0.674, 0.219, 0.326)
Pr (0.500, 0.000, 0.000)
Ac (0.171, 0.228, 0.329)
Ac (0.431, 0.721, 0.328)
Ac (0.569, 0.279, 0.672)
Ac (0.829, 0.772, 0.671)
Tb (0.000, 0.000, 0.000)


Entry 2:
The following is a PBE calculation of crystalline Ac14TbPr at its relaxed geometry, from the Alexandria database.

Cell lengths 7.894, 7.894, 11.234 Å; angles 90.00, 90.00, 90.02 degrees
Fractional positions:
Ac (0.875, 0.625, 0.500)
Ac (0.375, 0.125, 0.000)
Ac (0.626, 0.374, 0.245)
Ac (0.124, 0.876, 0.244)
Ac (0.375, 0.625, 0.500)
Ac (0.875, 0.625, 0.000)
Ac (0.124, 0.374, 0.244)
Ac (0.375, 0.125, 0.500)
Ac (0.626, 0.876, 0.756)
Ac (0.626, 0.374, 0.755)
Ac (0.626, 0.876, 0.244)
Ac (0.124, 0.374, 0.756)
Ac (0.124, 0.876, 0.756)
Ac (0.875, 0.125, 0.500)
Pr (0.375, 0.625, 0.000)
Tb (0.875, 0.125, 0.000)


Entry 3:
The following is a PBE calculation of crystalline Ac2Tb3Pr at its relaxed geometry, from the Alexandria database.

Cell lengths 7.426, 9.153, 7.472 Å; angles 101.79, 90.00, 113.93 degrees
Fractional positions:
Tb (0.719, 0.000, 0.750)
Tb (0.281, 0.000, 0.250)
Tb (0.881, 0.757, 0.939)
Tb (0.124, 0.243, 0.561)
Tb (0.119, 0.243, 0.061)
Tb (0.876, 0.757, 0.439)
Ac (0.687, 0.363, 0.591)
Ac (0.324, 0.637, 0.909)
Ac (0.313, 0.637, 0.409)
Ac (0.676, 0.363, 0.091)
Pr (0.718, 0.000, 0.250)
Pr (0.282, 0.000, 0.750)


Entry 4:
The following is a PBE calculation of crystalline AcTb3Pr5 at its relaxed geometry, from the Alexandria database.

Output
The value obtained for the energy above the most stable polymorph in this dataset is 415 meV per atom.

Cell lengths 8.688, 8.688, 14.030 Å; angles 58.49, 58.49, 85.18 degrees
Fractional positions:
Pr (0.744, 0.256, 0.000)
Pr (0.951, 0.445, 0.406)
Pr (0.652, 0.652, 0.586)
Pr (0.049, 0.555, 0.594)
Pr (0.555, 0.049, 0.594)
Pr (0.256, 0.744, 0.000)
Pr (0.342, 0.342, 0.915)
Pr (0.658, 0.658, 0.085)
Pr (0.445, 0.951, 0.406)
Pr (0.348, 0.348, 0.414)
Tb (0.664, 0.664, 0.323)
Tb (0.336, 0.336, 0.677)
Tb (0.000, 0.000, 0.000)
Tb (0.665, 0.665, 0.830)
Tb (0.335, 0.335, 0.170)
Tb (0.000, 0.000, 0.500)
Ac (0.999, 0.999, 0.253)
Ac (0.001, 0.001, 0.747)


Entry 5:
The following is a PBE calculation of crystalline Ac4Tb5Pr at its relaxed geometry, from the Alexandria database.

Cell lengths 5.401, 10.895, 9.921 Å; angles 41.48, 74.21, 75.65 degrees
Fractional positions:
Tb (0.000, 0.500, 0.500)
Tb (0.199, 0.899, 0.703)
Tb (0.801, 0.101, 0.297)
Tb (0.401, 0.300, 0.899)
Tb (0.599, 0.700, 0.101)
Ac (0.402, 0.804, 0.393)
Ac (0.800, 0.602, 0.798)
Ac (0.598, 0.196, 0.607)
Ac (0.200, 0.398, 0.202)
Pr (0.000, 0.000, 0.000)


Entry 6:
The following is a PBE calculation of crystalline Ac5Tb2Pr2 at its relaxed geometry, from the Alexandria database.

Cell lengths 6.626, 11.501, 9.407 Å; angles 35.22, 62.21, 61.30 degrees
Fractional positions:
Pr (0.340, 0.769, 0.781)
Pr (0.660, 0.231, 0.219)
Tb (0.334, 0.449, 0.440)
Tb (0.666, 0.551, 0.560)
Ac (0.999, 0.335, 0.337)
Ac (0.001, 0.665, 0.663)
Ac (0.339, 0.112, 0.112)
Ac (0.000, 0.000, 0.000)
Ac (0.661, 0.888, 0.888)


Entry 7:
The following is a PBE calculation of crystalline Ac4TbPr6 at its relaxed geometry, from the Alexandria database.

Cell lengths 9.878, 9.878, 9.878 Å; angles 62.25, 137.12, 137.12 degrees
Fractional positions:
Tb (0.000, 0.000, 0.000)
Pr (0.000, 0.774, 0.433)
Pr (0.500, 0.000, 0.500)
Pr (0.340, 0.567, 0.567)
Pr (0.000, 0.433, 0.774)
Pr (0.500, 0.500, 0.000)
Pr (0.660, 0.226, 0.226)
Ac (0.387, 0.373, 0.373)
Ac (0.000, 0.014, 0.627)
Ac (0.000, 0.627, 0.014)
Ac (0.613, 0.986, 0.986)


Entry 8:
The following is a PBE calculation of crystalline AcTb6Pr10 at its relaxed geometry, from the Alexandria database.

Cell lengths 7.023, 10.004, 10.004 Å; angles 120.00, 90.00, 90.00 degrees
Fractional positions:
Pr (0.826, 0.718, 0.718)
Pr (0.500, 0.667, 0.333)
Pr (0.826, 0.282, 0.000)
Pr (0.000, 0.667, 0.333)
Pr (0.174, 0.000, 0.718)
Pr (0.826, 0.000, 0.282)
Pr (0.500, 0.333, 0.667)
Pr (0.174, 0.282, 0.282)
Pr (0.000, 0.333, 0.667)
Pr (0.174, 0.718, 0.000)
Ac (0.500, 0.000, 0.000)
Tb (0.314, 0.000, 0.370)
Tb (0.314, 0.630, 0.630)
Tb (0.686, 0.630, 0.000)
Tb (0.314, 0.370, 0.000)
Tb (0.686, 0.000, 0.630)
Tb (0.686, 0.370, 0.370)


Entry 9:
The following is a PBE calculation of crystalline AcTb6Pr5 at its relaxed geometry, from the Alexandria database.

Cell lengths 6.363, 6.367, 11.992 Å; angles 84.91, 79.77, 60.02 degrees
Fractional positions:
Pr (0.833, 0.334, 0.500)
Pr (0.333, 0.333, 0.000)
Pr (0.667, 0.667, 0.000)
Pr (0.500, 0.000, 0.500)
Pr (0.167, 0.666, 0.500)
Tb (0.419, 0.664, 0.748)
Tb (0.581, 0.336, 0.252)
Tb (0.084, 0.336, 0.748)
Tb (0.916, 0.664, 0.252)
Tb (0.749, 0.000, 0.748)
Tb (0.251, 0.000, 0.252)
Ac (0.000, 0.000, 0.000)


Entry 10:
The following is a PBE calculation of crystalline Ac6Tb2Pr3 at its relaxed geometry, from the Alexandria database.

Cell lengths 6.652, 8.581, 15.808 Å; angles 49.50, 60.59, 97.36 degrees
Fractional positions:
Ac (0.266, 0.916, 0.181)
Ac (0.087, 0.635, 0.735)
Ac (0.913, 0.365, 0.265)
Ac (0.815, 0.720, 0.549)
Ac (0.734, 0.084, 0.819)
Ac (0.185, 0.280, 0.451)
Tb (0.645, 0.459, 0.087)
Tb (0.355, 0.541, 0.913)
Pr (0.551, 0.829, 0.356)
Pr (0.449, 0.171, 0.644)
Pr (0.000, 0.000, 0.000)


Entry 11:
The following is a PBE calculation of crystalline AcTb3Pr6 at its relaxed geometry, from the Alexandria database.

Output
The value obtained for the energy above the most stable polymorph in this dataset is 60 meV per atom.

Cell lengths 9.374, 9.146, 9.146 Å; angles 113.18, 90.00, 90.00 degrees
Fractional positions:
Tb (0.490, 0.275, 0.142)
Tb (0.347, 0.464, 0.536)
Tb (0.990, 0.725, 0.858)
Tb (0.490, 0.858, 0.725)
Tb (0.847, 0.536, 0.464)
Tb (0.990, 0.142, 0.275)
Pr (0.161, 0.815, 0.544)
Pr (0.661, 0.544, 0.815)
Pr (0.682, 0.938, 0.062)
Pr (0.332, 0.029, 0.326)
Pr (0.332, 0.674, 0.971)
Pr (0.832, 0.326, 0.029)
Pr (0.161, 0.456, 0.185)
Pr (0.182, 0.062, 0.938)
Pr (0.432, 0.236, 0.764)
Pr (0.832, 0.971, 0.674)
Pr (0.932, 0.764, 0.236)
Pr (0.661, 0.185, 0.456)
Ac (0.558, 0.695, 0.305)
Ac (0.058, 0.305, 0.695)


Entry 12:
The following is a PBE calculation of crystalline AcTbPr at its relaxed geometry, from the Alexandria database.

Output
The value obtained for the energy above the most stable polymorph in this dataset is 3 meV per atom.

Cell lengths 5.349, 5.333, 15.766 Å; angles 90.00, 90.00, 90.00 degrees
Fractional positions:
Ac (0.250, 0.750, 0.250)
Ac (0.750, 0.250, 0.250)
Ac (0.250, 0.250, 0.750)
Ac (0.750, 0.750, 0.750)
Tb (0.250, 0.250, 0.078)
Tb (0.750, 0.250, 0.922)
Tb (0.750, 0.750, 0.422)
Tb (0.250, 0.750, 0.578)
Pr (0.750, 0.750, 0.079)
Pr (0.250, 0.250, 0.421)
Pr (0.250, 0.750, 0.921)
Pr (0.750, 0.250, 0.579)


Number 1: ρ 7.32 g/cm3, DFT formation energy 3.0 kJ/mol of atoms, E -4.512 eV/atom. Number 2: ρ 8.25 g/cm3, DFT formation energy 2.3 kJ/mol of atoms, E -4.159 eV/atom. Number 3: ρ 7.87 g/cm3, DFT formation energy 13.5 kJ/mol of atoms, E -4.342 eV/atom. Number 4: ρ 6.29 g/cm3, DFT formation energy 46.7 kJ/mol of atoms, E -4.171 eV/atom. Number 5: ρ 8.25 g/cm3, DFT formation energy 4.3 kJ/mol of atoms, E -4.392 eV/atom. Number 6: ρ 8.03 g/cm3, DFT formation energy 4.4 kJ/mol of atoms, E -4.328 eV/atom. Number 7: ρ 7.20 g/cm3, DFT formation energy 23.1 kJ/mol of atoms, E -4.283 eV/atom. Number 8: ρ 7.06 g/cm3, DFT formation energy 12.7 kJ/mol of atoms, E -4.555 eV/atom. Number 9: ρ 7.56 g/cm3, DFT formation energy 1.7 kJ/mol of atoms, E -4.631 eV/atom. Number 10: ρ 7.92 g/cm3, DFT formation energy 4.0 kJ/mol of atoms, E -4.345 eV/atom. Number 11: ρ 7.14 g/cm3, DFT formation energy 12.6 kJ/mol of atoms, E -4.537 eV/atom. Number 12: ρ 7.78 g/cm3, DFT formation energy 4.0 kJ/mol of atoms, E -4.465 eV/atom.